# 1
Density functional theory data (PBE) for an optimized crystal structure of Nd2Sm6Tm3.

Calculated values
total DFT energy (no corrections)	-49.386	eV per cell
formation enthalpy at 0 K	0.171	eV/atom
symmetry	C2/m
theoretical density	7371	kg/m3
magnetization	0.00	μB/f.u.
energy above the lowest structure with this stoichiometry	0.000	eV/atom

abc: 6.1774 6.1822 11.7456
angles: 84.92 79.79 60.03
Fractional coordinates of all 11 atoms:
Nd (0.1666, 0.6667, 0.5000)
Nd (0.8334, 0.3333, 0.5000)
Sm (0.4156, 0.6673, 0.7537)
Sm (0.7485, 0.0000, 0.7537)
Sm (0.0828, 0.3327, 0.7537)
Sm (0.2515, 0.0000, 0.2463)
Sm (0.5844, 0.3327, 0.2463)
Sm (0.9172, 0.6673, 0.2463)
Tm (0.0000, 0.0000, 0.0000)
Tm (0.3344, 0.3312, 0.0000)
Tm (0.6656, 0.6688, 0.0000)

=====

# 2
Density functional theory data (PBE) for an optimized crystal structure of Nd8Sm3Tm2.

Calculated values
total DFT energy (no corrections)	-58.531	eV per cell
formation enthalpy at 0 K	0.209	eV/atom
symmetry	P-1
theoretical density	7024	kg/m3
magnetization	0.00	μB/f.u.
energy above the lowest structure with this stoichiometry	0.051	eV/atom

abc: 5.8060 7.7591 10.9111
angles: 110.86 90.03 90.00
Fractional coordinates of all 13 atoms:
Nd (0.0010, 0.6744, 0.3492)
Nd (0.9990, 0.3256, 0.6508)
Nd (0.9994, 0.1337, 0.2676)
Nd (0.0006, 0.8663, 0.7324)
Nd (0.4998, 0.5996, 0.7843)
Nd (0.4998, 0.1853, 0.7844)
Nd (0.5002, 0.8147, 0.2156)
Nd (0.5002, 0.4004, 0.2157)
Sm (0.5000, 0.0000, 0.0000)
Sm (0.0000, 0.2872, 0.0000)
Sm (0.0000, 0.7128, 0.0000)
Tm (0.4987, 0.2410, 0.4813)
Tm (0.5013, 0.7590, 0.5187)

=====

# 3
Density functional theory data (PBE) for an optimized crystal structure of NdSm8Tm3.

Calculated values
total DFT energy (no corrections)	-55.671	eV per cell
formation enthalpy at 0 K	0.022	eV/atom
symmetry	P1
theoretical density	7752	kg/m3
magnetization	0.00	μB/f.u.

abc: 3.5850 8.8634 14.3141
angles: 63.67 90.03 78.33
Fractional coordinates of all 12 atoms:
Nd (0.1259, 0.4980, 0.6865)
Sm (0.5819, 0.5822, 0.8833)
Sm (0.4188, 0.9110, 0.6190)
Sm (0.8754, 0.9938, 0.8193)
Sm (0.7240, 0.3026, 0.5496)
Sm (0.5039, 0.7401, 0.4317)
Sm (0.8863, 0.9734, 0.1834)
Sm (0.1886, 0.3689, 0.1243)
Sm (0.8070, 0.1343, 0.3719)
Tm (0.2765, 0.1912, 0.9498)
Tm (0.1129, 0.5222, 0.3106)
Tm (0.4971, 0.7520, 0.0673)

=====

# 4
Density functional theory data (PBE) for an optimized crystal structure of Nd5Sm2Tm12.

Calculated values
total DFT energy (no corrections)	-85.641	eV per cell
formation enthalpy at 0 K	0.068	eV/atom
symmetry	P-1
theoretical density	8316	kg/m3
magnetization	0.00	μB/f.u.
energy above the lowest structure with this stoichiometry	0.000	eV/atom

abc: 6.7448 11.7391 12.5327
angles: 138.47 111.79 76.87
Fractional coordinates of all 19 atoms:
Nd (0.2634, 0.4915, 0.6017)
Nd (0.1694, 0.6657, 0.1709)
Nd (0.0000, 0.0000, 0.5000)
Nd (0.8306, 0.3343, 0.8291)
Nd (0.7366, 0.5085, 0.3983)
Sm (0.6135, 0.8503, 0.8153)
Sm (0.3865, 0.1497, 0.1847)
Tm (0.9348, 0.1226, 0.2512)
Tm (0.1129, 0.7698, 0.9618)
Tm (0.6552, 0.7486, 0.0260)
Tm (0.2100, 0.5923, 0.3927)
Tm (0.6868, 0.6168, 0.2009)
Tm (0.5614, 0.9488, 0.6042)
Tm (0.4386, 0.0512, 0.3958)
Tm (0.7900, 0.4077, 0.6073)
Tm (0.3132, 0.3832, 0.7991)
Tm (0.8871, 0.2302, 0.0382)
Tm (0.3448, 0.2514, 0.9740)
Tm (0.0652, 0.8774, 0.7488)

=====

# 5
Density functional theory data (PBE) for an optimized crystal structure of Nd7SmTm4.

Calculated values
total DFT energy (no corrections)	-53.489	eV per cell
formation enthalpy at 0 K	0.208	eV/atom
symmetry	C2/m
theoretical density	7459	kg/m3
magnetization	0.18	μB/f.u.
energy above the lowest structure with this stoichiometry	0.202	eV/atom

abc: 6.0014 9.6930 8.6083
angles: 62.23 69.60 71.97
Fractional coordinates of all 12 atoms:
Nd (0.7852, 0.8885, 0.5411)
Nd (0.2148, 0.1115, 0.4589)
Nd (0.0883, 0.5446, 0.2788)
Nd (0.9117, 0.4554, 0.7212)
Nd (0.2180, 0.7517, 0.8123)
Nd (0.5000, 0.0000, 0.0000)
Nd (0.7820, 0.2483, 0.1877)
Sm (0.0000, 0.0000, 0.0000)
Tm (0.5683, 0.3004, 0.5630)
Tm (0.4317, 0.6996, 0.4370)
Tm (0.6674, 0.6267, 0.0386)
Tm (0.3326, 0.3733, 0.9614)

=====

# 6
Density functional theory data (PBE) for an optimized crystal structure of Nd4Sm7Tm.

Calculated values
total DFT energy (no corrections)	-53.915	eV per cell
formation enthalpy at 0 K	0.222	eV/atom
symmetry	C2/m
theoretical density	7177	kg/m3
magnetization	0.35	μB/f.u.
energy above the lowest structure with this stoichiometry	0.136	eV/atom

abc: 6.0392 9.8046 8.7537
angles: 60.18 69.82 72.06
Fractional coordinates of all 12 atoms:
Nd (0.5753, 0.2984, 0.5509)
Nd (0.4247, 0.7016, 0.4491)
Nd (0.6748, 0.6125, 0.0379)
Nd (0.3252, 0.3875, 0.9621)
Sm (0.7912, 0.8748, 0.5429)
Sm (0.2088, 0.1252, 0.4571)
Sm (0.0797, 0.5669, 0.2737)
Sm (0.9203, 0.4331, 0.7263)
Sm (0.2069, 0.7774, 0.8087)
Sm (0.5000, 0.0000, 0.0000)
Sm (0.7931, 0.2226, 0.1913)
Tm (0.0000, 0.0000, 0.0000)

=====

Q: magnetization of number 6 (Nd4Sm7Tm)?
A: 0.35 μB/f.u.

=====

Q: Which of these has the highest formation enthalpy at 0 K?
A: Nd4Sm7Tm

=====

Q: Among the records above, which one has the highest theoretical density?
A: Nd5Sm2Tm12